The following is a DFT calculation (PBE) of a relaxed ThV4Si4 crystal.

Properties
Total energy, eV/atom: -7.64
Space group: P4_2/n
V, Å³ per atom: 16.7
Formation energy (no corrections), eV/atom: -0.36
Total magnetization, μB per cell: 0.0

Structure (POSCAR):
```
ThV4Si4
1.0
4.601 0.000 0.000
0.000 8.081 0.000
0.000 0.000 8.081
Si V Th
8 8 2
Cartesian
0.301 1.751 2.783
4.299 2.783 6.330
4.299 5.298 1.751
2.602 1.258 5.791
0.301 6.330 5.298
1.999 2.290 1.258
2.602 6.823 2.290
1.999 5.791 6.823
0.337 0.843 4.967
0.337 7.238 3.114
4.263 3.114 0.843
1.963 3.197 7.155
2.638 0.926 3.197
1.963 4.884 0.926
2.638 7.155 4.884
4.263 4.967 7.238
0.000 0.000 0.000
2.300 4.040 4.040
```